DFT (PBE+U) results for an optimized crystal structure of NiPO2.

Summary:
- SG: R-3m, No. 166
- Total DFT energy (no corrections): -5.3414 eV per atom

The structure in POSCAR format:
```
NiPO2
1.0
1.6732 0.0000 5.6732
-0.8366 1.4490 5.6732
-0.8366 -1.4490 5.6732
Ni O P
1 2 1
Cartesian
0.0000 0.0000 8.5097 Ni
0.0000 0.0000 15.3265 O
0.0000 0.0000 1.6929 O
0.0000 0.0000 0.0000 P
```